# Tm2CdCo GGA-PBE relaxed
data_Tm2CdCo
_chemical_formula_sum 'Tm6 Cd3 Co3'
_symmetry_space_group_name_H-M 'R -3 m'
_symmetry_Int_Tables_number 166
_symmetry_space_group_name_Hall '-R 3 2"'
_cell_length_a 3.7252
_cell_length_b 3.7252
_cell_length_c 23.9335
_cell_angle_alpha 90.00
_cell_angle_beta 90.00
_cell_angle_gamma 120.00
loop_
_atom_site_label
_atom_site_fract_x
_atom_site_fract_y
_atom_site_fract_z
_atom_site_occupancy
Tm1 0.0000 0.0000 0.2298 1
Cd1 0.0000 0.0000 0.0000 1
Co1 0.0000 0.0000 0.5000 1
# Total magnetic moment (μB per formula unit): 0.00
# Energy relative to the lowest polymorph listed for this composition (eV/f.u.): 0.60
# Formation energy from the elements (eV/atom): -0.15
# V (Å³/f.u.): 95.88